Entry 1:
A plane-wave DFT calculation with PBE was carried out for a relaxed structure of InAs3C.

Structure (POSCAR):
```
InAs3C
1.0
4.489 0.000 0.000
0.000 4.489 0.000
0.000 0.000 4.489
In As C
1 3 1
direct
0.000 0.000 0.000
0.000 0.500 0.500
0.500 0.000 0.500
0.500 0.500 0.000
0.500 0.500 0.500
```

Output
- DFT formation energy: 4.803 eV/f.u.
- Relative energy among the computed polymorphs: 0.0 meV/atom
- M_tot: 0.0 Bohr magnetons per cell
- Calculated total energy: -21.11 eV/cell

Entry 2:
A plane-wave DFT calculation with PBE was carried out for a relaxed structure of InAsPt2C.

Structure (POSCAR):
```
InAsPt2C
1.0
4.002 0.000 0.000
0.000 4.002 0.000
0.000 0.000 5.810
In As Pt C
1 1 2 1
direct
0.000 0.000 0.000
0.500 0.500 0.000
0.000 0.500 0.500
0.500 0.000 0.500
0.000 0.000 0.500
```

Output
- DFT formation energy: 2.497 eV/f.u.
- M_tot: 0.0 Bohr magnetons per cell
- Calculated total energy: -26.20 eV/cell

Entry 3:
A plane-wave DFT calculation with PBE was carried out for a relaxed structure of InSbAs2C.

Structure (POSCAR):
```
InSbAs2C
1.0
5.291 0.000 0.000
0.000 5.291 0.000
0.000 0.000 6.031
In Sb As C
1 1 2 1
direct
0.000 0.000 0.000
0.000 0.000 0.500
0.000 0.500 0.500
0.500 0.000 0.500
0.500 0.500 0.000
```

Output
- E_form (uncorrected): 2.04 eV per atom
- M_tot: 1.9 Bohr magnetons per cell
- Calculated total energy: -15.16 eV/cell

Entry 4:
A plane-wave DFT calculation with PBE was carried out for a relaxed structure of InAsCSe2.

Structure (POSCAR):
```
InAsCSe2
1.0
4.501 0.000 0.000
0.000 4.501 0.000
0.000 0.000 4.596
In As C Se
1 1 1 2
direct
0.000 0.000 0.000
0.500 0.500 0.000
0.500 0.500 0.500
0.000 0.500 0.500
0.500 0.000 0.500
```

Output
- E_form (uncorrected): 0.92 eV per atom
- Relative energy among the computed polymorphs: 0.0 meV/atom
- M_tot: 0.0 Bohr magnetons per cell
- Calculated total energy: -18.98 eV/cell

Question: Which value of calculated total energy does entry 3 give?
Answer: -15.16 eV/cell